Density functional theory data (PBE-GGA) for Tc2Ni2Rh after structural relaxation.

Lattice parameters (Å, degrees): 6.9568 6.9568 2.7318 90.00 90.00 90.00
With the nearest neighbours (Å) after each atom.
Element x y z (fractional)
Tc1 0.1749 0.3251 0.0000  6 Ni 2.42-2.50
Tc2 0.3251 0.8251 0.0000  6 Ni 2.42-2.50
Tc3 0.6749 0.1749 0.0000  6 Ni 2.42-2.50
Tc4 0.8251 0.6749 0.0000  6 Ni 2.42-2.50
Ni1 0.1214 0.6214 0.5000  1 Ni 2.39, 6 Tc 2.42-2.50
Ni2 0.3786 0.1214 0.5000  1 Ni 2.39, 6 Tc 2.42-2.50
Ni3 0.6214 0.8786 0.5000  1 Ni 2.39, 6 Tc 2.42-2.50
Ni4 0.8786 0.3786 0.5000  1 Ni 2.39, 6 Tc 2.42-2.50
Rh1 0.0000 0.0000 0.5000  2 Rh 2.73, 4 Ni 2.77, 8 Tc 2.91
Rh2 0.5000 0.5000 0.5000  2 Rh 2.73, 4 Ni 2.77, 8 Tc 2.91

Properties
energy above the most stable polymorph in this dataset: 20.5 kJ/mol of atoms
formation energy from the elements: 0.84 eV/f.u.
symmetry: No. 127

---

Density functional theory data (PBE-GGA) for CeCdBr2 after structural relaxation.

Lattice parameters (Å, degrees): 3.8684 3.8684 33.1254 90.00 90.00 120.00
With the nearest neighbours (Å) after each atom.
Element x y z (fractional)
Ce1 0.0000 0.0000 0.0000  2 Br 2.70
Ce2 0.3333 0.6667 0.6667  2 Br 2.70
Ce3 0.6667 0.3333 0.3333  2 Br 2.70
Cd1 0.0000 0.0000 0.5000  6 Br 3.60, 6 Cd 3.87
Cd2 0.3333 0.6667 0.1667  6 Br 3.60, 6 Cd 3.87
Cd3 0.6667 0.3333 0.8333  6 Br 3.60, 6 Cd 3.87
Br1 0.0000 0.0000 0.0816  1 Ce 2.70
Br2 0.0000 0.0000 0.9184  1 Ce 2.70
Br3 0.3333 0.6667 0.5851  1 Ce 2.70
Br4 0.3333 0.6667 0.7482  1 Ce 2.70
Br5 0.6667 0.3333 0.2518  1 Ce 2.70
Br6 0.6667 0.3333 0.4149  1 Ce 2.70

Properties
ΔE_f (raw): -0.524 eV/atom
symmetry: No. 166

---

Density functional theory data (PBE-GGA) for Pm8Er2Tl after structural relaxation.

Lattice parameters (Å, degrees): 8.3866 8.3866 5.4361 90.00 90.00 103.42
With the nearest neighbours (Å) after each atom.
Element x y z (fractional)
Pm1 0.1655 0.1655 0.0000  7 Pm 3.44-3.71, 1 Tl 3.48, 4 Er 3.59
Pm2 0.1999 0.4727 0.5000  7 Pm 3.40-3.71, 2 Er 3.50-3.61, 2 Tl 3.68
Pm3 0.2485 0.7515 0.0000  2 Er 3.19, 1 Tl 3.31, 4 Pm 3.55
Pm4 0.4727 0.1999 0.5000  7 Pm 3.40-3.71, 2 Er 3.50-3.61, 2 Tl 3.68
Pm5 0.5273 0.8001 0.5000  7 Pm 3.40-3.71, 2 Er 3.50-3.61, 2 Tl 3.68
Pm6 0.7515 0.2485 0.0000  2 Er 3.19, 1 Tl 3.31, 4 Pm 3.55
Pm7 0.8001 0.5273 0.5000  7 Pm 3.40-3.71, 2 Er 3.50-3.61, 2 Tl 3.68
Pm8 0.8345 0.8345 0.0000  7 Pm 3.44-3.71, 1 Tl 3.48, 4 Er 3.59
Er1 0.1215 0.8785 0.5000  4 Pm 3.19-3.50, 1 Er 3.20
Er2 0.8785 0.1215 0.5000  4 Pm 3.19-3.50, 1 Er 3.20
Tl1 0.5000 0.5000 0.0000  12 Pm 3.31-3.68

Properties
energy above the most stable polymorph in this dataset: 12.0 kJ/mol of atoms
formation energy from the elements: 0.91 eV/f.u.
symmetry: No. 65

---

Density functional theory data (PBE-GGA) for CsNaTc2O8 after structural relaxation.

Lattice parameters (Å, degrees): 6.1402 6.1402 7.9318 112.47 112.47 59.90
With the nearest neighbours (Å) after each atom.
Element x y z (fractional)
Cs1 0.0000 0.0000 0.0000  2 O 3.02
Na1 0.5000 0.5000 0.5000  6 O 2.58-2.59
Tc1 0.2220 0.2220 0.6683  4 O 1.73-1.75
Tc2 0.7780 0.7780 0.3317  4 O 1.73-1.75
O1 0.0634 0.5968 0.2530  1 Tc 1.75
O2 0.1425 0.1425 0.4247  1 Tc 1.73
O3 0.4034 0.4034 0.7482  1 Tc 1.75
O4 0.4032 0.9366 0.7470  1 Tc 1.75
O5 0.5968 0.0634 0.2530  1 Tc 1.75
O6 0.5966 0.5966 0.2518  1 Tc 1.75
O7 0.8575 0.8575 0.5753  1 Tc 1.73
O8 0.9366 0.4032 0.7470  1 Tc 1.75

Properties
ΔE_f (raw): -1.643 eV/atom
symmetry: No. 12

---

Density functional theory data (PBE-GGA) for SmPu4Se6 after structural relaxation.

Lattice parameters (Å, degrees): 7.1666 7.1666 21.0175 90.00 90.00 146.87
With the nearest neighbours (Å) after each atom.
Element x y z (fractional)
Sm1 0.1525 0.8475 0.7500  6 Se 2.93-3.03
Sm2 0.8475 0.1525 0.2500  6 Se 2.93-3.03
Pu1 0.0915 0.9085 0.1302  6 Se 2.89-3.01
Pu2 0.0915 0.9085 0.3698  6 Se 2.89-3.01
Pu3 0.3616 0.6384 0.0419  6 Se 2.91-2.96
Pu4 0.3616 0.6384 0.4581  6 Se 2.91-2.96
Pu5 0.6384 0.3616 0.5419  6 Se 2.91-2.96
Pu6 0.6384 0.3616 0.9581  6 Se 2.91-2.96
Pu7 0.9085 0.0915 0.6302  6 Se 2.89-3.01
Pu8 0.9085 0.0915 0.8698  6 Se 2.89-3.01
Se1 0.0000 0.0000 0.0000  6 Pu 2.93-3.01
Se2 0.0000 0.0000 0.5000  6 Pu 2.93-3.01
Se3 0.1950 0.8050 0.2500  2 Pu 2.89, 2 Sm 2.93
Se4 0.2731 0.7269 0.5863  5 Pu 2.91-2.96
Se5 0.2731 0.7269 0.9137  5 Pu 2.91-2.96
Se6 0.4506 0.5494 0.1676  3 Pu 2.91-2.92, 2 Sm 3.03
Se7 0.4506 0.5494 0.3324  3 Pu 2.91-2.92, 2 Sm 3.03
Se8 0.5494 0.4506 0.6676  3 Pu 2.91-2.92, 2 Sm 3.03
Se9 0.5494 0.4506 0.8324  3 Pu 2.91-2.92, 2 Sm 3.03
Se10 0.7269 0.2731 0.0863  5 Pu 2.91-2.96
Se11 0.7269 0.2731 0.4137  5 Pu 2.91-2.96
Se12 0.8050 0.1950 0.7500  2 Pu 2.89, 2 Sm 2.93

Properties
ΔE_f (raw): -1.583 eV/atom
symmetry: No. 63

---

Density functional theory data (PBE-GGA) for Th5TcSn2 after structural relaxation.

Lattice parameters (Å, degrees): 12.5658 9.1304 8.2484 90.00 90.00 90.00
With the nearest neighbours (Å) after each atom.
Element x y z (fractional)
Th1 0.0016 0.2500 0.0393  1 Tc 3.08, 4 Sn 3.25-3.26
Th2 0.0646 0.5426 0.3118  2 Tc 2.85-3.15
Th3 0.0646 0.9574 0.3118  2 Tc 2.85-3.15
Th4 0.1983 0.2500 0.6206  1 Tc 2.82
Th5 0.2033 0.7500 0.6496  1 Tc 2.86
Th6 0.2967 0.2500 0.1496  1 Tc 2.86
Th7 0.3017 0.7500 0.1206  1 Tc 2.82
Th8 0.4354 0.0426 0.8118  2 Tc 2.85-3.15
Th9 0.4354 0.4574 0.8118  2 Tc 2.85-3.15
Th10 0.4984 0.7500 0.5393  1 Tc 3.08, 4 Sn 3.25-3.26
Th11 0.5016 0.2500 0.4607  1 Tc 3.08, 4 Sn 3.25-3.26
Th12 0.5646 0.5426 0.1882  2 Tc 2.85-3.15
Th13 0.5646 0.9574 0.1882  2 Tc 2.85-3.15
Th14 0.6983 0.2500 0.8794  1 Tc 2.82
Th15 0.7033 0.7500 0.8504  1 Tc 2.86
Th16 0.7967 0.2500 0.3504  1 Tc 2.86
Th17 0.8017 0.7500 0.3794  1 Tc 2.82
Th18 0.9354 0.0426 0.6882  2 Tc 2.85-3.15
Th19 0.9354 0.4574 0.6882  2 Tc 2.85-3.15
Th20 0.9984 0.7500 0.9607  1 Tc 3.08, 4 Sn 3.25-3.26
Tc1 0.0206 0.2500 0.4112  7 Th 2.82-3.15
Tc2 0.4794 0.7500 0.9112  7 Th 2.82-3.15
Tc3 0.5206 0.2500 0.0888  7 Th 2.82-3.15
Tc4 0.9794 0.7500 0.5888  7 Th 2.82-3.15
Sn1 0.1752 0.0090 0.9210  9 Th 3.25-3.59
Sn2 0.1752 0.4910 0.9210  9 Th 3.25-3.59
Sn3 0.3248 0.5090 0.4210  9 Th 3.25-3.59
Sn4 0.3248 0.9910 0.4210  9 Th 3.25-3.59
Sn5 0.6752 0.0090 0.5790  9 Th 3.25-3.59
Sn6 0.6752 0.4910 0.5790  9 Th 3.25-3.59
Sn7 0.8248 0.5090 0.0790  9 Th 3.25-3.59
Sn8 0.8248 0.9910 0.0790  9 Th 3.25-3.59

Properties
energy above the most stable polymorph in this dataset: 0.0 kJ/mol of atoms
formation energy from the elements: -3.30 eV/f.u.
symmetry: No. 62

---

Density functional theory data (PBE-GGA) for La3SnPt8 after structural relaxation.

Lattice parameters (Å, degrees): 9.5474 9.5474 9.5474 33.81 33.81 33.81
With the nearest neighbours (Å) after each atom.
Element x y z (fractional)
La1 0.0000 0.0000 0.0000  12 Pt 3.22-3.26, 4 La 3.49-3.52
La2 0.1295 0.1295 0.1295  12 Pt 3.14-3.34, 3 Sn 3.26, 1 La 3.49
La3 0.6131 0.6131 0.6131  9 Pt 3.09-3.32
Sn1 0.4839 0.4839 0.4839  6 Pt 2.92-3.21, 3 La 3.26
Pt1 0.0569 0.5623 0.5623  6 Pt 2.74-2.81, 1 Sn 2.92
Pt2 0.0612 0.0612 0.5655  6 Pt 2.75-2.80
Pt3 0.0612 0.5655 0.0612  6 Pt 2.75-2.80
Pt4 0.3118 0.3118 0.3118  6 Pt 2.74-2.75
Pt5 0.5623 0.0569 0.5623  6 Pt 2.74-2.81, 1 Sn 2.92
Pt6 0.5623 0.5623 0.0569  6 Pt 2.74-2.81, 1 Sn 2.92
Pt7 0.5655 0.0612 0.0612  6 Pt 2.75-2.80
Pt8 0.8125 0.8125 0.8125  6 Pt 2.76-2.80

Properties
formation energy from the elements: -11.58 eV/f.u.
symmetry: No. 160

---

Density functional theory data (PBE-GGA) for DyPd7Pb2 after structural relaxation.

Lattice parameters (Å, degrees): 8.0383 8.0383 4.3095 90.00 90.00 125.10
With the nearest neighbours (Å) after each atom.
Element x y z (fractional)
Dy1 0.0000 0.0000 0.0000  10 Pd 2.76-2.92
Pd1 0.0805 0.2826 0.5000  5 Pd 2.69-2.88, 1 Pb 2.71, 2 Dy 2.92
Pd2 0.1934 0.8066 0.0000  2 Pb 2.68, 1 Dy 2.76, 4 Pd 2.86
Pd3 0.2826 0.0805 0.5000  5 Pd 2.69-2.88, 1 Pb 2.71, 2 Dy 2.92
Pd4 0.5000 0.5000 0.5000  4 Pd 2.77, 2 Pb 2.77
Pd5 0.7174 0.9195 0.5000  5 Pd 2.69-2.88, 1 Pb 2.71, 2 Dy 2.92
Pd6 0.8066 0.1934 0.0000  2 Pb 2.68, 1 Dy 2.76, 4 Pd 2.86
Pd7 0.9195 0.7174 0.5000  5 Pd 2.69-2.88, 1 Pb 2.71, 2 Dy 2.92
Pb1 0.3057 0.6943 0.5000  5 Pd 2.68-2.77
Pb2 0.6943 0.3057 0.5000  5 Pd 2.68-2.77

Properties
formation energy from the elements: -1.29 eV/f.u.
symmetry: No. 65

---

Which formula does entry 2 have?
CeCdBr2